Below is a relaxed structure of Ac2Mg2Ga3, with properties calculated at the PBE level.

The structure in CIF format:
```
data_Ac2Mg2Ga3
_symmetry_space_group_name_H-M 'C 1 2/m 1'
_symmetry_Int_Tables_number 12
_symmetry_space_group_name_Hall '-C 2y'
_cell_length_a 11.837
_cell_length_b 4.758
_cell_length_c 7.153
_cell_angle_alpha 90.00
_cell_angle_beta 115.81
_cell_angle_gamma 90.00
loop_
_atom_site_label
_atom_site_fract_x
_atom_site_fract_y
_atom_site_fract_z
Ac1 0.157 0.000 0.265
Mg1 0.140 0.000 0.759
Ga1 0.000 0.500 0.500
Ga2 0.085 0.500 0.920
```

volume = 25.905 Å³/atom
formation energy from the elements = -2.5 eV per formula unit
total magnetization = 0.00 μB per formula unit